A relaxed AcLa3Sm2S6 crystal, computed with PBE.

Properties
V ... 599 Å³ per cell
Uncorrected formation energy ... -2.09 eV per atom

Cell lengths 7.1610, 12.4208, 7.1548 Å; angles 90.00, 109.63, 90.00 degrees
Last column: nearest neighbours and their distance in Å.
Space group C2/m (No. 12)
Asymmetric unit:
Ac  0.0000  0.0000  0.0000  6 S 2.97-2.98
La  0.0000  0.1637  0.5000  6 S 2.90-2.97
La  0.0000  0.5000  0.5000  6 S 2.89-2.97
Sm  0.0000  0.3329  0.0000  6 S 2.87-2.88
S  0.2364  0.5000  0.2433  2 Sm 2.87, 3 La 2.89-2.96, 1 Ac 2.97
S  0.2454  0.3278  0.7530  2 Sm 2.88, 3 La 2.90-2.97, 1 Ac 2.98